Entry 1:
## NdCd8Hg6 (PBE)

Data for an optimized crystal structure of NdCd8Hg6.

Cell lengths 8.6299, 8.6299, 18.7370 Å; angles 90.00, 90.00, 120.00 degrees
Space group R-3 (No. 148, hexagonal axes)
One atom of each set of equivalent atoms:
Nd 0.0000 0.0000 0.0000 x3
Cd 0.0000 0.0000 0.3464 x6
Cd 0.0190 0.3089 0.5600 x18
Hg 0.0197 0.3087 0.7381 x18

Values from the calculation:
Formation energy ... -0.0197 eV per atom

***

Entry 2:
## CaCrPd (PBE)

Data for an optimized crystal structure of CaCrPd.

Cell lengths 4.303, 10.401, 5.758 Å; angles 90.00, 90.00, 90.00 degrees
Space group Cmcm (No. 63)
One atom of each set of equivalent atoms:
Ca 0.000 0.206 0.250 x4
Cr 0.000 0.500 0.000 x4
Pd 0.000 0.078 0.750 x4

Values from the calculation:
Formation energy ... -0.0813 eV per atom
Polymorph energy (0 for the lowest one) ... 0.02 eV per formula unit

***

Entry 3:
## Pm2TlBO5 (PBE)

Data for an optimized crystal structure of Pm2TlBO5.

Cell lengths 6.738, 6.738, 5.309 Å; angles 90.00, 90.00, 90.00 degrees
Space group P4/mbm (No. 127)
One atom of each set of equivalent atoms:
Pm 0.180 0.320 0.000 x4
Tl 0.000 0.000 0.500 x2
B 0.000 0.500 0.500 x2
O 0.000 0.000 0.000 x2
O 0.117 0.617 0.281 x8

Values from the calculation:
Raw formation energy ... -2240 meV/atom

***

Entry 4:
## TbSmEr5Th2 (PBE)

Data for an optimized crystal structure of TbSmEr5Th2.

Cell lengths 8.747, 8.747, 15.334 Å; angles 90.00, 90.00, 90.00 degrees
Space group I4/mcm (No. 140)
One atom of each set of equivalent atoms:
Tb 0.000 0.000 0.250 x4
Sm 0.000 0.500 0.250 x4
Er 0.000 0.000 0.000 x4
Er 0.209 0.291 0.139 x16
Th 0.119 0.381 0.500 x8

Values from the calculation:
Formation energy ... 0.3376 eV per atom

***

Copy entry 3 word for word.
## Pm2TlBO5 (PBE)

Data for an optimized crystal structure of Pm2TlBO5.

Cell lengths 6.738, 6.738, 5.309 Å; angles 90.00, 90.00, 90.00 degrees
Space group P4/mbm (No. 127)
One atom of each set of equivalent atoms:
Pm 0.180 0.320 0.000 x4
Tl 0.000 0.000 0.500 x2
B 0.000 0.500 0.500 x2
O 0.000 0.000 0.000 x2
O 0.117 0.617 0.281 x8

Values from the calculation:
Raw formation energy ... -2240 meV/atom

***

Copy entry 3 word for word.
## Pm2TlBO5 (PBE)

Data for an optimized crystal structure of Pm2TlBO5.

Cell lengths 6.738, 6.738, 5.309 Å; angles 90.00, 90.00, 90.00 degrees
Space group P4/mbm (No. 127)
One atom of each set of equivalent atoms:
Pm 0.180 0.320 0.000 x4
Tl 0.000 0.000 0.500 x2
B 0.000 0.500 0.500 x2
O 0.000 0.000 0.000 x2
O 0.117 0.617 0.281 x8

Values from the calculation:
Raw formation energy ... -2240 meV/atom